Record 1
A crystal of YC2 relaxed with PBEsol. Source: the Alexandria database, functional meta-GGA SCAN.

Calculated values
Density   5.07 g cm⁻³
Crystal system   hexagonal
Excess energy over the best structure of this formula in the dataset   1867.8 meV/atom
Formation energy   1.52 eV/atom

Cell lengths 4.130, 4.130, 5.006 Å; angles 90.00, 90.00, 120.00 degrees
Fractional positions:
Y 0.333 0.667 0.250
Y 0.667 0.333 0.750
C 0.000 0.000 0.000
C 0.000 0.000 0.500
C 0.333 0.667 0.750
C 0.667 0.333 0.250

=====

Record 2
A crystal of Y4C7 relaxed with PBEsol. Source: the Alexandria database, functional meta-GGA SCAN.

Calculated values
Density   4.72 g cm⁻³
Crystal system   monoclinic
Formation energy   -0.44 eV/atom

Cell lengths 3.667, 13.663, 6.386 Å; angles 90.00, 104.79, 90.00 degrees
Fractional positions:
Y 0.058 0.162 0.163
Y 0.058 0.338 0.663
Y 0.366 0.055 0.739
Y 0.366 0.445 0.239
Y 0.634 0.555 0.761
Y 0.634 0.945 0.261
Y 0.942 0.662 0.337
Y 0.942 0.838 0.837
C 0.000 0.000 0.000
C 0.000 0.500 0.500
C 0.267 0.604 0.050
C 0.267 0.896 0.550
C 0.375 0.697 0.044
C 0.375 0.803 0.544
C 0.471 0.215 0.924
C 0.471 0.285 0.424
C 0.529 0.715 0.576
C 0.529 0.785 0.076
C 0.625 0.197 0.456
C 0.625 0.303 0.956
C 0.733 0.104 0.450
C 0.733 0.396 0.950

=====

Record 3
A crystal of Y3C relaxed with PBEsol. Source: the Alexandria database, functional meta-GGA SCAN.

Calculated values
Density   4.72 g cm⁻³
Crystal system   trigonal
Excess energy over the best structure of this formula in the dataset   6.8 meV/atom
Formation energy   -0.26 eV/atom

Cell lengths 9.265, 9.265, 9.265 Å; angles 22.02, 22.02, 22.02 degrees
Fractional positions:
Y 0.000 0.000 0.000
Y 0.216 0.216 0.216
Y 0.784 0.784 0.784
C 0.500 0.500 0.500

=====

Record 4
A crystal of Y5C3 relaxed with PBEsol. Source: the Alexandria database, functional meta-GGA SCAN.

Calculated values
Density   5.43 g cm⁻³
Crystal system   tetragonal
Excess energy over the best structure of this formula in the dataset   0.0 meV/atom
Formation energy   0.20 eV/atom

Cell lengths 3.110, 3.110, 15.194 Å; angles 90.00, 90.00, 90.00 degrees
Fractional positions:
Y 0.000 0.000 0.000
Y 0.000 0.000 0.193
Y 0.000 0.000 0.807
Y 0.500 0.500 0.411
Y 0.500 0.500 0.589
C 0.000 0.000 0.500
C 0.500 0.500 0.109
C 0.500 0.500 0.891

=====

Record 5
A crystal of ZnC relaxed with PBEsol. Source: the Alexandria database, functional meta-GGA SCAN.

Calculated values
Density   5.59 g cm⁻³
Crystal system   monoclinic
Excess energy over the best structure of this formula in the dataset   802.5 meV/atom
Formation energy   0.86 eV/atom

Cell lengths 4.823, 4.823, 6.660 Å; angles 117.70, 117.70, 30.54 degrees
Fractional positions:
Zn 0.000 0.000 0.000
Zn 0.331 0.331 0.149
Zn 0.571 0.571 0.588
C 0.301 0.301 0.457
C 0.639 0.639 0.920
C 0.747 0.747 0.488

=====

Record 6
A crystal of Zn2C relaxed with PBEsol. Source: the Alexandria database, functional meta-GGA SCAN.

Calculated values
Density   6.19 g cm⁻³
Crystal system   monoclinic
Excess energy over the best structure of this formula in the dataset   419.1 meV/atom
Formation energy   1.05 eV/atom

Cell lengths 5.394, 5.394, 7.240 Å; angles 128.17, 128.17, 28.15 degrees
Fractional positions:
Zn 0.113 0.113 0.317
Zn 0.220 0.220 0.798
Zn 0.780 0.780 0.202
Zn 0.887 0.887 0.683
C 0.421 0.421 0.165
C 0.579 0.579 0.835

=====

Record 7
A crystal of ZnC7 relaxed with PBEsol. Source: the Alexandria database, functional meta-GGA SCAN.

Calculated values
Density   3.93 g cm⁻³
Crystal system   cubic
Formation energy   4.09 eV/atom

Cell lengths 4.472, 4.472, 4.472 Å; angles 60.00, 60.00, 60.00 degrees
Fractional positions:
Zn 0.000 0.000 0.000
C 0.000 0.000 0.500
C 0.000 0.500 0.000
C 0.000 0.500 0.500
C 0.500 0.000 0.000
C 0.500 0.000 0.500
C 0.500 0.500 0.000
C 0.500 0.500 0.500

=====

Record 8
A crystal of ZnC relaxed with PBEsol. Source: the Alexandria database, functional meta-GGA SCAN.

Calculated values
Density   4.69 g cm⁻³
Crystal system   trigonal
Excess energy over the best structure of this formula in the dataset   4.0 meV/atom
Formation energy   0.06 eV/atom

Cell lengths 10.368, 10.368, 10.368 Å; angles 13.75, 13.75, 13.75 degrees
Fractional positions:
Zn 0.125 0.125 0.125
Zn 0.875 0.875 0.875
C 0.333 0.333 0.333
C 0.667 0.667 0.667

=====

Record 9
A crystal of ZnC relaxed with PBEsol. Source: the Alexandria database, functional meta-GGA SCAN.

Calculated values
Density   6.33 g cm⁻³
Crystal system   hexagonal
Excess energy over the best structure of this formula in the dataset   1394.0 meV/atom
Formation energy   1.45 eV/atom

Cell lengths 3.353, 3.353, 4.176 Å; angles 90.00, 90.00, 120.00 degrees
Fractional positions:
Zn 0.333 0.667 0.250
Zn 0.667 0.333 0.750
C 0.000 0.000 0.000
C 0.000 0.000 0.500

=====

Record 10
A crystal of ZnC relaxed with PBEsol. Source: the Alexandria database, functional meta-GGA SCAN.

Calculated values
Density   6.09 g cm⁻³
Crystal system   orthorhombic
Excess energy over the best structure of this formula in the dataset   1718.6 meV/atom
Formation energy   1.78 eV/atom

Cell lengths 4.960, 4.960, 3.277 Å; angles 90.00, 90.00, 148.43 degrees
Fractional positions:
Zn 0.129 0.871 0.750
Zn 0.871 0.129 0.250
C 0.367 0.633 0.750
C 0.633 0.367 0.250

=====

Record 11
A crystal of ZnC relaxed with PBEsol. Source: the Alexandria database, functional meta-GGA SCAN.

Calculated values
Density   6.02 g cm⁻³
Crystal system   orthorhombic
Excess energy over the best structure of this formula in the dataset   1767.5 meV/atom
Formation energy   1.82 eV/atom

Cell lengths 4.849, 2.679, 3.288 Å; angles 90.00, 90.00, 90.00 degrees
Fractional positions:
Zn 0.250 0.000 0.167
Zn 0.750 0.000 0.833
C 0.250 0.500 0.653
C 0.750 0.500 0.347

=====

Record 12
A crystal of Zn3C4 relaxed with PBEsol. Source: the Alexandria database, functional meta-GGA SCAN.

Calculated values
Density   5.57 g cm⁻³
Crystal system   cubic
Excess energy over the best structure of this formula in the dataset   0.0 meV/atom
Formation energy   1.51 eV/atom

Cell lengths 4.176, 4.176, 4.176 Å; angles 90.00, 90.00, 90.00 degrees
Fractional positions:
Zn 0.000 0.000 0.500
Zn 0.000 0.500 0.000
Zn 0.500 0.000 0.000
C 0.367 0.367 0.367
C 0.367 0.633 0.633
C 0.633 0.367 0.633
C 0.633 0.633 0.367

=====

Record 13
A crystal of ZnC2 relaxed with PBEsol. Source: the Alexandria database, functional meta-GGA SCAN.

Calculated values
Density   5.54 g cm⁻³
Crystal system   cubic
Excess energy over the best structure of this formula in the dataset   2010.5 meV/atom
Formation energy   2.90 eV/atom

Cell lengths 4.234, 4.234, 4.234 Å; angles 60.00, 60.00, 60.00 degrees
Fractional positions:
Zn 0.125 0.125 0.125
Zn 0.875 0.875 0.875
C 0.000 0.500 0.500
C 0.500 0.000 0.500
C 0.500 0.500 0.000
C 0.500 0.500 0.500

=====

Record 14
A crystal of Zn2C relaxed with PBEsol. Source: the Alexandria database, functional meta-GGA SCAN.

Calculated values
Density   6.99 g cm⁻³
Crystal system   cubic
Excess energy over the best structure of this formula in the dataset   48.4 meV/atom
Formation energy   0.68 eV/atom

Cell lengths 3.633, 3.633, 3.633 Å; angles 60.00, 60.00, 60.00 degrees
Fractional positions:
Zn 0.250 0.250 0.250
Zn 0.750 0.750 0.750
C 0.000 0.000 0.000

=====

Record 15
A crystal of ZnC relaxed with PBEsol. Source: the Alexandria database, functional meta-GGA SCAN.

Calculated values
Density   6.17 g cm⁻³
Crystal system   hexagonal
Excess energy over the best structure of this formula in the dataset   1641.0 meV/atom
Formation energy   1.70 eV/atom

Cell lengths 3.126, 3.126, 4.925 Å; angles 90.00, 90.00, 120.00 degrees
Fractional positions:
Zn 0.000 0.000 0.000
Zn 0.000 0.000 0.500
C 0.333 0.667 0.250
C 0.667 0.333 0.750

=====

Record 16
A crystal of ZnC2 relaxed with PBEsol. Source: the Alexandria database, functional meta-GGA SCAN.

Calculated values
Density   4.54 g cm⁻³
Crystal system   hexagonal
Excess energy over the best structure of this formula in the dataset   587.0 meV/atom
Formation energy   1.48 eV/atom

Cell lengths 3.143, 3.143, 3.826 Å; angles 90.00, 90.00, 120.00 degrees
Fractional positions:
Zn 0.000 0.000 0.000
C 0.333 0.667 0.333
C 0.333 0.667 0.667

=====

Record 17
A crystal of ZnC2 relaxed with PBEsol. Source: the Alexandria database, functional meta-GGA SCAN.

Calculated values
Density   3.68 g cm⁻³
Crystal system   tetragonal
Excess energy over the best structure of this formula in the dataset   0.0 meV/atom
Formation energy   0.89 eV/atom

Cell lengths 3.788, 3.788, 3.788 Å; angles 116.25, 116.25, 96.62 degrees
Fractional positions:
Zn 0.000 0.000 0.000
C 0.376 0.376 0.000
C 0.624 0.624 0.000

=====

Record 18
A crystal of ZnC relaxed with PBEsol. Source: the Alexandria database, functional meta-GGA SCAN.

Calculated values
Density   5.49 g cm⁻³
Crystal system   cubic
Excess energy over the best structure of this formula in the dataset   1784.3 meV/atom
Formation energy   1.84 eV/atom

Cell lengths 4.127, 4.127, 4.127 Å; angles 90.00, 90.00, 90.00 degrees
Fractional positions:
Zn 0.000 0.000 0.500
Zn 0.000 0.500 0.000
Zn 0.500 0.000 0.000
C 0.000 0.500 0.500
C 0.500 0.000 0.500
C 0.500 0.500 0.000

=====

Record 19
A crystal of Zn5C relaxed with PBEsol. Source: the Alexandria database, functional meta-GGA SCAN.

Calculated values
Density   6.40 g cm⁻³
Crystal system   hexagonal
Formation energy   1.03 eV/atom

Cell lengths 4.746, 4.746, 4.508 Å; angles 90.00, 90.00, 120.00 degrees
Fractional positions:
Zn 0.000 0.500 0.000
Zn 0.333 0.667 0.500
Zn 0.500 0.000 0.000
Zn 0.500 0.500 0.000
Zn 0.667 0.333 0.500
C 0.000 0.000 0.500

=====

Record 20
A crystal of ZnC relaxed with PBEsol. Source: the Alexandria database, functional meta-GGA SCAN.

Calculated values
Density   4.69 g cm⁻³
Crystal system   hexagonal
Excess energy over the best structure of this formula in the dataset   4.1 meV/atom
Formation energy   0.06 eV/atom

Cell lengths 2.482, 2.482, 20.571 Å; angles 90.00, 90.00, 120.00 degrees
Fractional positions:
Zn 0.333 0.667 0.063
Zn 0.333 0.667 0.437
Zn 0.667 0.333 0.563
Zn 0.667 0.333 0.937
C 0.000 0.000 0.250
C 0.000 0.000 0.750
C 0.333 0.667 0.750
C 0.667 0.333 0.250

=====

Across the entries above, DFT total energy takes the values -87.0, -373.8, -94.7, -167.9, -65.7, -67.9, -51.5, -47.0, -41.4, -40.1, -39.9, -70.4, -50.0, -35.1, -40.4, -29.3, -31.0, -59.8, -71.5, -94.0 eV per cell, respectively.